# 1
DFT (PBE) results for an optimized crystal structure of PmDy2Pt2.

Cell: 4.6265 5.4668 11.0926 Å, 110.51 90.00 90.00°
Closest atoms and distances in Å follow each position.
Fractional coordinates of all 10 atoms:
1 Dy 0.7500 0.2261 0.1169  5 Pt 2.80-2.99
2 Pt 0.2500 0.8625 0.6337  5 Dy 2.88-2.97, 2 Pm 3.06
3 Dy 0.2500 0.7739 0.8831  5 Pt 2.80-2.99
4 Pt 0.7500 0.1375 0.3664  5 Dy 2.88-2.97, 2 Pm 3.06
5 Dy 0.7500 0.7140 0.4687  4 Pt 2.88-2.95
6 Pm 0.7500 0.1974 0.7856  5 Pt 3.01-3.06
7 Pt 0.2500 0.3207 0.9754  4 Dy 2.80-2.99, 2 Pt 2.96, 3 Pm 3.01-3.04
8 Dy 0.2500 0.2860 0.5313  4 Pt 2.88-2.95
9 Pt 0.7500 0.6793 0.0246  4 Dy 2.80-2.99, 2 Pt 2.96, 3 Pm 3.01-3.04
10 Pm 0.2500 0.8026 0.2144  5 Pt 3.01-3.06

Properties
Its space group is P2_1/m, No. 11. Its electronic total energy is -6.226 eV/atom.


# 2
DFT (PBE) results for an optimized crystal structure of Sm3GeSbCl.

Cell: 4.4022 8.5946 9.4668 Å, 101.91 90.00 90.00°
Closest atoms and distances in Å follow each position.
Fractional coordinates of all 12 atoms:
1 Cl 0.2500 0.0967 0.5775  3 Sm 2.71-2.76, 2 Cl 2.96
2 Cl 0.7500 0.9033 0.4225  3 Sm 2.71-2.76, 2 Cl 2.96
3 Sb 0.7500 0.8218 0.7798  7 Sm 3.20-3.51
4 Sm 0.7500 0.4230 0.1532  3 Ge 2.92-2.99, 2 Sb 3.20
5 Ge 0.2500 0.6602 0.1622  6 Sm 2.92-3.00
6 Sm 0.7500 0.2634 0.5151  3 Cl 2.76-3.04, 1 Ge 2.99
7 Sm 0.2500 0.5770 0.8468  3 Ge 2.92-2.99, 2 Sb 3.20
8 Sb 0.2500 0.1782 0.2202  7 Sm 3.20-3.51
9 Sm 0.2500 0.1102 0.8661  1 Cl 2.71, 2 Ge 3.00
10 Sm 0.7500 0.8898 0.1339  1 Cl 2.71, 2 Ge 3.00
11 Sm 0.2500 0.7366 0.4849  3 Cl 2.76-3.04, 1 Ge 2.99
12 Ge 0.7500 0.3398 0.8378  6 Sm 2.92-3.00

Properties
The uncorrected formation energy comes out at -1049 meV per atom. Its space group is P2_1/m, No. 11.


# 3
DFT (PBE) results for an optimized crystal structure of KBa3B.

Cell: 6.2830 6.2830 6.2830 Å, 90.00 90.00 90.00°
Closest atoms and distances in Å follow each position.
Fractional coordinates of all 5 atoms:
1 Ba 0.0000 0.5000 0.0000  2 B 3.14
2 Ba 0.0000 0.0000 0.5000  2 B 3.14
3 B 0.0000 0.0000 0.0000  6 Ba 3.14
4 K 0.5000 0.5000 0.5000  12 Ba 4.44
5 Ba 0.5000 0.0000 0.0000  2 B 3.14

Properties
Its space group is Pm-3m, No. 221. Its electronic total energy is -2.308 eV/atom.


# 4
DFT (PBE) results for an optimized crystal structure of LaDy6Ho3Th2.

Cell: 6.1830 6.1830 11.7453 Å, 95.05 95.05 119.96°
Closest atoms and distances in Å follow each position.
Fractional coordinates of all 12 atoms:
1 Dy 0.7455 0.7455 0.2500  3 Ho 3.54-3.56, 2 Th 3.54, 6 Dy 3.54-3.63, 1 La 3.57
2 Dy 0.9160 0.5776 0.7504  3 Ho 3.53-3.57, 2 Th 3.54, 6 Dy 3.54-3.63, 1 La 3.57
3 Th 0.3334 0.6666 0.0000  6 Dy 3.54, 3 Th 3.57, 3 La 3.57
4 La 0.0000 0.0000 0.0000  6 Dy 3.57, 6 Th 3.57
5 Dy 0.2545 0.2545 0.7500  3 Ho 3.54-3.56, 2 Th 3.54, 6 Dy 3.54-3.63, 1 La 3.57
6 Dy 0.5776 0.9160 0.7504  3 Ho 3.53-3.57, 2 Th 3.54, 6 Dy 3.54-3.63, 1 La 3.57
7 Dy 0.4224 0.0840 0.2496  3 Ho 3.53-3.57, 2 Th 3.54, 6 Dy 3.54-3.63, 1 La 3.57
8 Ho 0.5000 0.5000 0.5000  6 Dy 3.54-3.56, 6 Ho 3.57
9 Dy 0.0840 0.4224 0.2496  3 Ho 3.53-3.57, 2 Th 3.54, 6 Dy 3.54-3.63, 1 La 3.57
10 Ho 0.8334 0.1666 0.5000  6 Dy 3.53-3.57, 6 Ho 3.57
11 Th 0.6666 0.3334 0.0000  6 Dy 3.54, 3 Th 3.57, 3 La 3.57
12 Ho 0.1666 0.8334 0.5000  6 Dy 3.53-3.57, 6 Ho 3.57

Properties
Its space group is C2/m, No. 12. Its electronic total energy is -5.061 eV/atom.


# 5
DFT (PBE) results for an optimized crystal structure of NaY2Ag.

Cell: 3.5670 3.5670 9.4330 Å, 90.00 90.00 90.00°
Closest atoms and distances in Å follow each position.
Fractional coordinates of all 4 atoms:
1 Na 0.5000 0.5000 0.5000  4 Na 3.57, 8 Y 3.85
2 Y 0.0000 0.0000 0.1921  4 Ag 3.11
3 Ag 0.5000 0.5000 0.0000  8 Y 3.11
4 Y 0.0000 0.0000 0.8079  4 Ag 3.11

Properties
Its space group is P4/mmm, No. 123. Its electronic total energy is -4.261 eV/atom.


# 6
DFT (PBE) results for an optimized crystal structure of CdSe2S.

Cell: 5.4967 5.4967 8.2068 Å, 70.43 70.43 90.00°
Closest atoms and distances in Å follow each position.
Fractional coordinates of all 8 atoms:
1 Se 0.8750 0.8271 0.7500  2 S 2.53, 2 Cd 2.80
2 Se 0.3750 0.4229 0.7500  2 S 2.53, 2 Cd 2.80
3 Se 0.5771 0.1250 0.2500  2 S 2.53, 2 Cd 2.80
4 Se 0.1729 0.6250 0.2500  2 S 2.53, 2 Cd 2.80
5 S 0.2500 0.7500 0.5000  4 Se 2.53
6 Cd 0.7500 0.2500 0.5000  4 Se 2.80
7 Cd 0.0000 0.0000 0.0000  4 Se 2.80
8 S 0.5000 0.5000 0.0000  4 Se 2.53

Properties
The uncorrected formation energy comes out at 72 meV per atom. Its space group is I-42d, No. 122.


# 7
DFT (PBE) results for an optimized crystal structure of SrRePt2.

Cell: 10.0083 10.0083 10.0083 Å, 16.74 16.74 16.74°
Closest atoms and distances in Å follow each position.
Fractional coordinates of all 4 atoms:
1 Pt 0.9932 0.9932 0.9932  9 Pt 2.88-2.91, 3 Sr 3.13
2 Pt 0.2477 0.2477 0.2477  3 Re 2.69, 9 Pt 2.88-2.91
3 Re 0.5101 0.5101 0.5101  3 Pt 2.69, 6 Re 2.91
4 Sr 0.7489 0.7489 0.7489  6 Sr 2.91, 3 Pt 3.13

Properties
Its space group is R3m, No. 160. Its electronic total energy is -6.065 eV/atom.


# 8
DFT (PBE) results for an optimized crystal structure of Ba2ScP2.

Cell: 7.9055 7.9055 4.6423 Å, 90.00 90.00 90.00°
Closest atoms and distances in Å follow each position.
Fractional coordinates of all 10 atoms:
1 Ba 0.6439 0.8561 0.5000  6 P 3.09-3.43, 1 Ba 3.22
2 P 0.3257 0.8257 0.0000  2 Sc 2.92, 2 Ba 3.09
3 P 0.6743 0.1743 0.0000  2 Sc 2.92, 2 Ba 3.09
4 P 0.8257 0.6743 0.0000  2 Sc 2.92, 2 Ba 3.09
5 Ba 0.1439 0.6439 0.5000  6 P 3.09-3.43, 1 Ba 3.22
6 Ba 0.3561 0.1439 0.5000  6 P 3.09-3.43, 1 Ba 3.22
7 Sc 0.5000 0.5000 0.0000  4 P 2.92
8 Ba 0.8561 0.3561 0.5000  6 P 3.09-3.43, 1 Ba 3.22
9 Sc 0.0000 0.0000 0.0000  4 P 2.92
10 P 0.1743 0.3257 0.0000  2 Sc 2.92, 2 Ba 3.09

Properties
Its space group is P4/mbm, No. 127. Its electronic total energy is -4.999 eV/atom.


# 9
DFT (PBE) results for an optimized crystal structure of Rb2HfNp2Se6.

Cell: 7.0860 7.0860 8.5628 Å, 98.20 98.20 119.58°
Closest atoms and distances in Å follow each position.
Fractional coordinates of all 11 atoms:
1 Hf 0.0000 0.0000 0.5000  6 Se 2.72
2 Rb 0.1700 0.8300 0.0000  6 Se 3.44-3.53
3 Se 0.2485 0.2485 0.3102  1 Hf 2.72, 2 Np 2.89
4 Se 0.0665 0.3802 0.6906  1 Hf 2.72, 2 Np 2.90
5 Np 0.3333 0.6667 0.5000  6 Se 2.89-2.90
6 Rb 0.8300 0.1700 0.0000  6 Se 3.44-3.53
7 Se 0.6198 0.9335 0.3094  1 Hf 2.72, 2 Np 2.90
8 Se 0.3802 0.0665 0.6906  1 Hf 2.72, 2 Np 2.90
9 Np 0.6667 0.3333 0.5000  6 Se 2.89-2.90
10 Se 0.9335 0.6198 0.3094  1 Hf 2.72, 2 Np 2.90
11 Se 0.7515 0.7515 0.6898  1 Hf 2.72, 2 Np 2.89

Properties
The uncorrected formation energy comes out at -1274 meV per atom. Its space group is C2/m, No. 12.


# 10
DFT (PBE) results for an optimized crystal structure of Rb3Re2PbO8.

Cell: 6.3368 6.3368 8.2693 Å, 90.00 90.00 120.00°
Closest atoms and distances in Å follow each position.
Fractional coordinates of all 14 atoms:
1 O 0.8213 0.6427 0.6994  1 Re 1.85
2 O 0.8213 0.1787 0.6994  1 Re 1.85
3 Rb 0.3333 0.6667 0.6666  1 O 2.73
4 Rb 0.0000 0.0000 0.0000  6 O 3.17
5 Re 0.3333 0.6667 0.2130  4 O 1.78-1.85
6 O 0.3333 0.6667 0.9973  1 Re 1.78
7 O 0.1787 0.3573 0.3006  1 Re 1.85
8 O 0.6427 0.8213 0.3006  1 Re 1.85
9 Pb 0.0000 0.0000 0.5000  6 O 2.56
10 Re 0.6667 0.3333 0.7870  4 O 1.78-1.85
11 O 0.6667 0.3333 0.0027  1 Re 1.78
12 Rb 0.6667 0.3333 0.3334  1 O 2.73
13 O 0.3573 0.1787 0.6994  1 Re 1.85
14 O 0.1787 0.8213 0.3006  1 Re 1.85

Properties
The uncorrected formation energy comes out at -1521 meV per atom. Its space group is P-3m1, No. 164.


# 11
DFT (PBE) results for an optimized crystal structure of PuPd2Au8.

Cell: 3.0314 9.3941 8.8223 Å, 122.17 99.89 90.00°
Closest atoms and distances in Å follow each position.
Fractional coordinates of all 11 atoms:
1 Pd 0.8567 0.3567 0.7133  8 Au 2.79-2.85, 2 Pd 3.03
2 Au 0.6629 0.9125 0.3258  2 Pd 2.81, 8 Au 2.83-3.03
3 Au 0.1913 0.1913 0.3827  6 Au 2.83-3.03, 2 Pd 2.85
4 Pd 0.1433 0.6433 0.2867  8 Au 2.79-2.85, 2 Pd 3.03
5 Au 0.0000 0.6959 0.0000  2 Pd 2.79, 6 Au 2.87-3.03
6 Au 0.3371 0.5868 0.6742  2 Pd 2.81, 8 Au 2.83-3.03
7 Au 0.3371 0.0875 0.6742  2 Pd 2.81, 8 Au 2.83-3.03
8 Pu 0.5000 0.0000 0.0000  2 Pu 3.03, 12 Au 3.18-3.35
9 Au 0.8087 0.8087 0.6173  6 Au 2.83-3.03, 2 Pd 2.85
10 Au 0.6629 0.4132 0.3258  2 Pd 2.81, 8 Au 2.83-3.03
11 Au 0.0000 0.3041 0.0000  2 Pd 2.79, 6 Au 2.87-3.03

Properties
Its space group is Immm, No. 71. Its electronic total energy is -4.741 eV/atom.


# 12
DFT (PBE) results for an optimized crystal structure of SrErZnGa.

Cell: 5.2474 5.2474 5.2474 Å, 60.00 60.00 60.00°
Closest atoms and distances in Å follow each position.
Fractional coordinates of all 4 atoms:
1 Sr 0.7500 0.7500 0.7500  4 Ga 3.21, 4 Zn 3.21
2 Ga 0.0000 0.0000 0.0000  4 Er 3.21, 4 Sr 3.21
3 Zn 0.5000 0.5000 0.5000  4 Sr 3.21, 4 Er 3.21
4 Er 0.2500 0.2500 0.2500  4 Zn 3.21, 4 Ga 3.21

Properties
Its space group is F-43m, No. 216. Its electronic total energy is -2.937 eV/atom.


# 13
DFT (PBE) results for an optimized crystal structure of TbSmPb2O8.

Cell: 5.6316 5.6316 6.6694 Å, 114.97 114.97 90.00°
Closest atoms and distances in Å follow each position.
Fractional coordinates of all 12 atoms:
1 O 0.8024 0.8575 0.1992  1 Pb 2.13
2 O 0.6582 0.1976 0.8008  1 Pb 2.13
3 Pb 0.2500 0.7500 0.5000  4 O 2.13
4 O 0.3621 0.9087 0.3059  1 Pb 2.13, 1 Tb 2.38
5 O 0.3968 0.3418 0.1992  1 Pb 2.13
6 O 0.9438 0.3972 0.3059  1 Pb 2.13, 1 Tb 2.38
7 Pb 0.5000 0.5000 0.0000  4 O 2.13
8 O 0.1425 0.6032 0.8008  1 Pb 2.13
9 Sm 0.0000 0.0000 0.0000  8 O 2.41-2.44
10 O 0.0913 0.0562 0.6941  1 Pb 2.13, 1 Tb 2.38
11 Tb 0.7500 0.2500 0.5000  8 O 2.38-2.40
12 O 0.6028 0.6379 0.6941  1 Pb 2.13, 1 Tb 2.38

Properties
The uncorrected formation energy comes out at -1748 meV per atom. Its space group is I-4, No. 82.


# 14
DFT (PBE) results for an optimized crystal structure of BaTiAg3.

Cell: 5.2434 5.2434 5.2434 Å, 90.00 90.00 90.00°
Closest atoms and distances in Å follow each position.
Fractional coordinates of all 5 atoms:
1 Ti 0.0000 0.0000 0.0000  6 Ag 2.62
2 Ag 0.0000 0.0000 0.5000  2 Ti 2.62
3 Ag 0.0000 0.5000 0.0000  2 Ti 2.62
4 Ag 0.5000 0.0000 0.0000  2 Ti 2.62
5 Ba 0.5000 0.5000 0.5000  12 Ag 3.71

Properties
Its space group is Pm-3m, No. 221. Its electronic total energy is -3.353 eV/atom.


# 15
DFT (PBE) results for an optimized crystal structure of Na2LaBeI.

Cell: 5.3452 5.4600 5.3452 Å, 90.00 90.00 90.00°
Closest atoms and distances in Å follow each position.
Fractional coordinates of all 5 atoms:
1 I 0.5000 0.5000 0.5000  4 La 3.78, 8 Na 3.82
2 Na 0.0000 0.0000 0.5000  2 Be 2.67
3 Na 0.5000 0.0000 0.0000  2 Be 2.67
4 La 0.0000 0.5000 0.0000  2 Be 2.73
5 Be 0.0000 0.0000 0.0000  4 Na 2.67, 2 La 2.73

Properties
The uncorrected formation energy comes out at 73 meV per atom. Its space group is P4/mmm, No. 123.


# 16
DFT (PBE) results for an optimized crystal structure of EuGaRh.

Cell: 3.2975 3.2975 6.0027 Å, 105.94 105.94 90.00°
Closest atoms and distances in Å follow each position.
Fractional coordinates of all 3 atoms:
1 Rh 0.6967 0.6967 0.3933  4 Ga 2.59
2 Eu 0.0055 0.0055 0.0110  5 Rh 3.15-3.42, 5 Ga 3.23-3.27, 4 Eu 3.30
3 Ga 0.2979 0.2979 0.5957  4 Rh 2.59

Properties
Its space group is I4mm, No. 107. Its electronic total energy is -7.403 eV/atom.


# 17
DFT (PBE) results for an optimized crystal structure of HfAlRu3.

Cell: 4.3972 4.3972 4.3972 Å, 90.00 90.00 90.00°
Closest atoms and distances in Å follow each position.
Fractional coordinates of all 5 atoms:
1 Al 0.0000 0.0000 0.0000  6 Ru 2.20
2 Ru 0.5000 0.0000 0.0000  2 Al 2.20
3 Hf 0.5000 0.5000 0.5000  12 Ru 3.11
4 Ru 0.0000 0.5000 0.0000  2 Al 2.20
5 Ru 0.0000 0.0000 0.5000  2 Al 2.20

Properties
Its space group is Pm-3m, No. 221. Its electronic total energy is -7.922 eV/atom.


# 18
DFT (PBE) results for an optimized crystal structure of PrNd3Rh2.

Cell: 6.8948 7.4524 7.7936 Å, 105.23 90.00 117.55°
Closest atoms and distances in Å follow each position.
Fractional coordinates of all 12 atoms:
1 Nd 0.2202 0.4407 0.1102  2 Rh 2.78
2 Rh 0.6224 0.2445 0.0611  4 Nd 2.78-2.99, 2 Pr 3.01, 1 Rh 3.09
3 Pr 0.7468 0.0000 0.7500  4 Rh 3.01, 1 Nd 3.36
4 Nd 0.2589 0.0000 0.7500  4 Rh 2.99
5 Nd 0.7798 0.5593 0.8898  2 Rh 2.78
6 Nd 0.7411 0.0000 0.2500  4 Rh 2.99
7 Pr 0.2532 0.0000 0.2500  4 Rh 3.01, 1 Nd 3.36
8 Rh 0.3776 0.7555 0.9389  4 Nd 2.78-2.99, 2 Pr 3.01, 1 Rh 3.09
9 Nd 0.2205 0.4407 0.6102  2 Rh 2.78
10 Nd 0.7795 0.5593 0.3898  2 Rh 2.78
11 Rh 0.6220 0.2445 0.5611  4 Nd 2.78-2.99, 2 Pr 3.01, 1 Rh 3.09
12 Rh 0.3780 0.7555 0.4389  4 Nd 2.78-2.99, 2 Pr 3.01, 1 Rh 3.09

Properties
Its space group is C2/c, No. 15. Its electronic total energy is -6.119 eV/atom.


# 19
DFT (PBE) results for an optimized crystal structure of PmSm3P4.

Cell: 5.8153 5.8153 5.8153 Å, 90.00 90.00 90.00°
Closest atoms and distances in Å follow each position.
Fractional coordinates of all 8 atoms:
1 P 0.0000 0.5000 0.0000  2 Pm 2.91, 4 Sm 2.91
2 Pm 0.0000 0.0000 0.0000  6 P 2.91
3 Sm 0.5000 0.0000 0.5000  6 P 2.91
4 P 0.0000 0.0000 0.5000  4 Sm 2.91, 2 Pm 2.91
5 P 0.5000 0.0000 0.0000  4 Sm 2.91, 2 Pm 2.91
6 P 0.5000 0.5000 0.5000  6 Sm 2.91
7 Sm 0.5000 0.5000 0.0000  6 P 2.91
8 Sm 0.0000 0.5000 0.5000  6 P 2.91

Properties
Its space group is Pm-3m, No. 221. Its electronic total energy is -6.641 eV/atom.


# 20
DFT (PBE) results for an optimized crystal structure of Pu2MgGa9.

Cell: 4.2735 4.2735 12.5946 Å, 90.00 90.00 90.00°
Closest atoms and distances in Å follow each position.
Fractional coordinates of all 12 atoms:
1 Ga 0.0000 0.5000 0.5000  8 Ga 2.94-3.02, 4 Pu 3.06
2 Ga 0.5000 0.5000 0.0000  8 Ga 2.92, 4 Mg 3.02
3 Ga 0.0000 0.5000 0.1575  8 Ga 2.92-3.14, 2 Mg 2.92, 2 Pu 3.02
4 Ga 0.5000 0.5000 0.6600  8 Ga 2.94-3.14, 4 Pu 3.03
5 Mg 0.0000 0.0000 0.0000  12 Ga 2.92-3.02
6 Pu 0.0000 0.0000 0.6734  12 Ga 3.02-3.06
7 Ga 0.5000 0.0000 0.1575  2 Mg 2.92, 8 Ga 2.92-3.14, 2 Pu 3.02
8 Ga 0.5000 0.0000 0.8425  8 Ga 2.92-3.14, 2 Mg 2.92, 2 Pu 3.02
9 Ga 0.0000 0.5000 0.8425  8 Ga 2.92-3.14, 2 Mg 2.92, 2 Pu 3.02
10 Ga 0.5000 0.5000 0.3400  8 Ga 2.94-3.14, 4 Pu 3.03
11 Ga 0.5000 0.0000 0.5000  8 Ga 2.94-3.02, 4 Pu 3.06
12 Pu 0.0000 0.0000 0.3266  12 Ga 3.02-3.06

Properties
Its space group is P4/mmm, No. 123. Its electronic total energy is -5.068 eV/atom.